Cu2PBr: optimized geometry, PBE.

offset from the most stable computed form	19.956	kcal/mol of atoms
raw formation energy	0.85	eV per atom

Cell: 4.542 4.542 4.542 Å, 60.00 60.00 60.00°
Fractional positions:
Cu: 0.250 0.250 0.250
P: 0.750 0.750 0.750
Br: 0.500 0.500 0.500
Cu: 0.000 0.000 0.000

=====

Cs2ZnAsBr6: optimized geometry, PBE.

raw formation energy	-1.01	eV per atom

Cell: 7.936 7.936 7.787 Å, 59.36 59.36 90.00°
Fractional positions:
Br: 0.730 0.730 0.540
Cs: 0.250 0.750 0.500
As: 0.000 0.000 0.000
Br: 0.761 0.239 0.000
Cs: 0.750 0.250 0.500
Br: 0.239 0.239 0.000
Br: 0.270 0.270 0.460
Br: 0.761 0.761 0.000
Zn: 0.500 0.500 0.000
Br: 0.239 0.761 0.000

=====

PmHo2TmSc: optimized geometry, PBE.

energy relative to the elements	0.34	eV/atom

Cell: 7.065 8.150 6.917 Å, 126.10 90.00 90.00°
Fractional positions:
Ho: 0.500 0.303 0.000
Ho: 0.000 0.697 0.000
Pm: 0.750 0.269 0.538
Ho: 0.000 0.303 0.000
Tm: 0.250 0.269 0.537
Pm: 0.250 0.731 0.462
Sc: 0.250 0.997 0.993
Ho: 0.500 0.697 0.000
Sc: 0.750 0.003 0.007
Tm: 0.750 0.731 0.463

=====

Pm3DySb2C: optimized geometry, PBE.

raw formation energy	-0.77	eV per atom

Cell: 4.815 4.921 8.820 Å, 106.20 105.84 90.00°
Fractional positions:
Pm: 0.000 0.500 0.000
Sb: 0.640 0.640 0.279
Dy: 0.500 0.000 0.000
Pm: 0.160 0.160 0.321
Pm: 0.840 0.840 0.679
Sb: 0.360 0.360 0.721
C: 0.000 0.000 0.000

=====

TlSnCl3: optimized geometry, PBE.

raw formation energy	-0.95	eV per atom

Cell: 10.117 10.117 10.117 Å, 60.00 60.00 60.00°
Fractional positions:
Cl: 0.469 0.031 0.469
Tl: 0.125 0.625 0.625
Sn: 0.625 0.125 0.125
Cl: 0.219 0.781 0.219
Tl: 0.625 0.625 0.625
Cl: 0.781 0.219 0.781
Sn: 0.125 0.125 0.625
Cl: 0.219 0.219 0.781
Tl: 0.625 0.125 0.625
Cl: 0.031 0.469 0.469
Sn: 0.125 0.625 0.125
Cl: 0.031 0.031 0.469
Cl: 0.031 0.469 0.031
Sn: 0.125 0.125 0.125
Cl: 0.469 0.469 0.031
Cl: 0.219 0.781 0.781
Cl: 0.781 0.219 0.219
Tl: 0.625 0.625 0.125
Cl: 0.781 0.781 0.219
Cl: 0.469 0.031 0.031

=====

CeTh3Bi6: optimized geometry, PBE.

energy relative to the elements	-0.17	eV/atom

Cell: 11.162 6.627 6.620 Å, 120.05 107.19 90.01°
Last column: magnetic moment on the atom in μB.
Fractional positions:
Bi: 0.755 0.749 0.497  0.00
Th: 0.964 0.321 0.643  0.01
Th: 0.036 0.679 0.357  0.01
Bi: 0.245 0.252 0.993  0.00
Bi: 0.755 0.258 0.007  0.00
Th: 0.000 0.000 0.000  0.00
Ce: 0.500 0.500 0.000  1.02
Bi: 0.755 0.748 0.007  0.00
Bi: 0.245 0.742 0.993  0.00
Bi: 0.245 0.251 0.503  0.00

=====

Pr2Cd4InPb2: optimized geometry, PBE.

energy relative to the elements	-0.13	eV/atom

Cell: 7.404 7.404 7.404 Å, 81.85 124.81 124.81°
Fractional positions:
Cd: 0.565 0.283 0.283
Cd: 0.435 0.717 0.717
Pb: 0.500 0.750 0.250
Pb: 0.500 0.250 0.750
Cd: 0.000 0.717 0.283
Pr: 0.000 0.727 0.727
In: 0.000 0.000 0.000
Cd: 0.000 0.283 0.717
Pr: 0.000 0.273 0.273

=====

NbH2Se: optimized geometry, PBE.

offset from the most stable computed form	0.000	kcal/mol of atoms

Cell: 3.409 3.378 4.917 Å, 110.44 90.00 120.31°
Fractional positions:
H: 0.931 0.861 0.829
Nb: 0.563 0.126 0.663
H: 0.243 0.486 0.740
Se: 0.763 0.526 0.268

=====

BaScSbI2: optimized geometry, PBE.

offset from the most stable computed form	23.864	kcal/mol of atoms
raw formation energy	0.04	eV per atom

Cell: 6.449 6.449 6.814 Å, 90.00 90.00 90.00°
Last column: magnetic moment on the atom in μB.
Fractional positions:
Sc: 0.500 0.500 0.500  1.09
I: 0.500 0.000 0.000  -0.02
I: 0.000 0.500 0.000  -0.02
Sb: 0.000 0.000 0.500  -0.51
Ba: 0.000 0.000 0.000  -0.03

=====

Th2InB2Ru5: optimized geometry, PBE.

energy relative to the elements	-0.48	eV/atom

Cell: 3.244 9.878 9.878 Å, 90.00 90.00 90.00°
Fractional positions:
Ru: 0.500 0.227 0.071
Ru: 0.500 0.071 0.773
In: 0.000 0.000 0.000
Th: 0.000 0.823 0.677
Ru: 0.500 0.929 0.227
Th: 0.000 0.177 0.323
Ru: 0.500 0.273 0.571
B: 0.000 0.620 0.880
Ru: 0.500 0.571 0.727
Th: 0.000 0.677 0.177
Ru: 0.500 0.429 0.273
B: 0.000 0.120 0.620
Ru: 0.500 0.727 0.429
In: 0.000 0.500 0.500
Th: 0.000 0.323 0.823
Ru: 0.500 0.500 0.000
Ru: 0.500 0.773 0.929
B: 0.000 0.880 0.380
Ru: 0.500 0.000 0.500
B: 0.000 0.380 0.120

=====

Rb2CdReNi: optimized geometry, PBE.

energy relative to the elements	1.16	eV/atom

Cell: 6.581 4.519 6.581 Å, 90.00 90.00 90.00°
Last column: magnetic moment on the atom in μB.
Fractional positions:
Rb: 0.000 0.000 0.500  0.00
Cd: 0.500 0.500 0.500  0.00
Ni: 0.000 0.000 0.000  0.30
Re: 0.000 0.500 0.000  2.10
Rb: 0.500 0.000 0.000  0.00

=====

Ac2La7Er3: optimized geometry, PBE.

energy relative to the elements	0.08	eV/atom

Cell: 3.670 6.596 18.831 Å, 105.32 90.00 90.00°
Fractional positions:
Er: 0.000 0.894 0.335
La: 0.500 0.223 0.491
La: 0.000 0.552 0.839
Er: 0.500 0.500 0.000
La: 0.500 0.777 0.509
La: 0.500 0.060 0.833
La: 0.500 0.940 0.167
Er: 0.000 0.106 0.665
Ac: 0.500 0.598 0.671
Ac: 0.500 0.402 0.329
La: 0.000 0.000 0.000
La: 0.000 0.448 0.161

=====

no.,total magnetic moment (Bohr magnetons per cell),energy (eV per atom)
1,0.00,-2.966
2,0.00,-2.775
3,0.00,-4.599
4,0.00,-5.958
5,0.00,-3.331
6,1.19,-5.318
7,0.00,-2.729
8,0.00,-5.399
9,0.03,-3.054
10,0.00,-8.207
11,2.85,-3.061
12,0.00,-4.623